Record 1
Fe2AsPt: optimized geometry, PBE.

Values from the calculation:
Symmetry: P4/mmm
Electronic total energy (Ry per atom): -0.505

a = 4.488 Å, b = 4.488 Å, c = 2.758 Å
α = 90.00°, β = 90.00°, γ = 90.00°
Atoms (fractional coordinates):
Fe1 0.000 0.500 0.000
Fe2 0.500 0.000 0.000
As1 0.000 0.000 0.500
Pt1 0.500 0.500 0.500

Record 2
MnSn2Ir: optimized geometry, PBE.

Values from the calculation:
Symmetry: Fm-3m
Electronic total energy (Ry per atom): -0.464

a = 4.557 Å, b = 4.557 Å, c = 4.557 Å
α = 60.00°, β = 60.00°, γ = 60.00°
Atoms (fractional coordinates):
Mn1 0.000 0.000 0.000
Sn1 0.250 0.250 0.250
Sn2 0.750 0.750 0.750
Ir1 0.500 0.500 0.500

Record 3
ZrPaCo4: optimized geometry, PBE.

Values from the calculation:
Symmetry: F-43m
Electronic total energy (Ry per atom): -0.591

a = 4.932 Å, b = 4.932 Å, c = 4.932 Å
α = 60.00°, β = 60.00°, γ = 60.00°
Atoms (fractional coordinates):
Zr1 0.000 0.000 0.000
Pa1 0.250 0.250 0.250
Co1 0.124 0.625 0.625
Co2 0.625 0.124 0.625
Co3 0.625 0.625 0.124
Co4 0.625 0.625 0.625

Record 4
Ca2Hg3Au: optimized geometry, PBE.

Values from the calculation:
ΔE to the lowest computed polymorph (meV per atom): 10.5
Symmetry: Fmmm

a = 9.949 Å, b = 9.350 Å, c = 6.062 Å
α = 77.16°, β = 66.40°, γ = 36.45°
Atoms (fractional coordinates):
Ca1 0.247 0.753 0.753
Ca2 0.250 0.250 0.250
Ca3 0.750 0.750 0.750
Ca4 0.753 0.247 0.247
Hg1 0.164 0.669 0.331
Hg2 0.331 0.331 0.669
Hg3 0.331 0.836 0.164
Hg4 0.669 0.164 0.836
Hg5 0.669 0.669 0.331
Hg6 0.836 0.331 0.669
Au1 0.167 0.167 0.833
Au2 0.833 0.833 0.167

Record 5
Pu2PaO6: optimized geometry, PBE.

Values from the calculation:
ΔE to the lowest computed polymorph (meV per atom): 387.3
Symmetry: I-42m

a = 8.903 Å, b = 8.903 Å, c = 8.903 Å
α = 153.10°, β = 153.10°, γ = 38.41°
Atoms (fractional coordinates):
Pu1 0.184 0.184 0.000
Pu2 0.816 0.816 0.000
Pa1 0.500 0.500 0.000
O1 0.155 0.681 0.000
O2 0.250 0.750 0.500
O3 0.319 0.319 0.474
O4 0.681 0.155 0.000
O5 0.750 0.250 0.500
O6 0.845 0.845 0.526

Record 6
CaAg2Os: optimized geometry, PBE.

Values from the calculation:
ΔE to the lowest computed polymorph (meV per atom): 262.2
Symmetry: R-3m

a = 10.086 Å, b = 10.086 Å, c = 10.086 Å
α = 16.65°, β = 16.65°, γ = 16.65°
Atoms (fractional coordinates):
Ca1 0.000 0.000 0.000
Ag1 0.245 0.245 0.245
Ag2 0.755 0.755 0.755
Os1 0.500 0.500 0.500

Record 7
Ag2HgSeO4: optimized geometry, PBE.

Values from the calculation:
Symmetry: C2/c
Electronic total energy (Ry per atom): -0.283

a = 6.965 Å, b = 6.965 Å, c = 6.674 Å
α = 105.19°, β = 105.19°, γ = 113.95°
Atoms (fractional coordinates):
Ag1 0.000 0.000 0.000
Ag2 0.000 0.000 0.500
Ag3 0.000 0.500 0.000
Ag4 0.500 0.000 0.500
Hg1 0.000 0.500 0.500
Hg2 0.500 0.000 0.000
Se1 0.500 0.500 0.000
Se2 0.500 0.500 0.500
O1 0.208 0.213 0.863
O2 0.213 0.208 0.363
O3 0.327 0.672 0.987
O4 0.328 0.673 0.513
O5 0.672 0.327 0.487
O6 0.673 0.328 0.013
O7 0.787 0.792 0.637
O8 0.792 0.787 0.137

Record 8
AcMgGa2: optimized geometry, PBE.

Values from the calculation:
Symmetry: Pnma
Electronic total energy (Ry per atom): -0.252

a = 7.529 Å, b = 4.524 Å, c = 11.957 Å
α = 90.00°, β = 90.00°, γ = 90.00°
Atoms (fractional coordinates):
Ac1 0.134 0.250 0.140
Ac2 0.366 0.750 0.640
Ac3 0.634 0.250 0.360
Ac4 0.866 0.750 0.860
Mg1 0.130 0.250 0.441
Mg2 0.370 0.750 0.941
Mg3 0.630 0.250 0.059
Mg4 0.870 0.750 0.559
Ga1 0.034 0.250 0.666
Ga2 0.190 0.250 0.855
Ga3 0.310 0.750 0.355
Ga4 0.466 0.750 0.166
Ga5 0.534 0.250 0.834
Ga6 0.690 0.250 0.645
Ga7 0.810 0.750 0.145
Ga8 0.966 0.750 0.334

Record 9
Cr2SbRh: optimized geometry, PBE.

Values from the calculation:
Symmetry: R3m
Electronic total energy (Ry per atom): -0.540

a = 8.246 Å, b = 8.246 Å, c = 8.246 Å
α = 21.09°, β = 21.09°, γ = 21.09°
Atoms (fractional coordinates):
Cr1 0.000 0.000 0.000
Cr2 0.265 0.265 0.265
Sb1 0.760 0.760 0.760
Rh1 0.515 0.515 0.515

Record 10
La3Y2HoBi6: optimized geometry, PBE.

Values from the calculation:
Symmetry: C2/m
Electronic total energy (Ry per atom): -0.411

a = 7.968 Å, b = 7.968 Å, c = 7.928 Å
α = 99.64°, β = 99.64°, γ = 119.99°
Atoms (fractional coordinates):
La1 0.000 0.000 0.000
La2 0.333 0.667 0.000
La3 0.667 0.333 0.000
Y1 0.166 0.834 0.500
Y2 0.834 0.166 0.500
Ho1 0.500 0.500 0.500
Bi1 0.089 0.421 0.263
Bi2 0.247 0.247 0.738
Bi3 0.421 0.089 0.263
Bi4 0.579 0.911 0.737
Bi5 0.753 0.753 0.262
Bi6 0.911 0.579 0.737

Record 11
MgZn4Co: optimized geometry, PBE.

Values from the calculation:
ΔE to the lowest computed polymorph (meV per atom): 38.4
Symmetry: F-43m

a = 4.978 Å, b = 4.978 Å, c = 4.978 Å
α = 60.00°, β = 60.00°, γ = 60.00°
Atoms (fractional coordinates):
Mg1 0.000 0.000 0.000
Zn1 0.127 0.624 0.624
Zn2 0.624 0.127 0.624
Zn3 0.624 0.624 0.127
Zn4 0.624 0.624 0.624
Co1 0.250 0.250 0.250

Record 12
Ba2Ag: optimized geometry, PBE.

Values from the calculation:
ΔE to the lowest computed polymorph (meV per atom): 25.6
Symmetry: I4/mcm

a = 7.044 Å, b = 7.044 Å, c = 7.044 Å
α = 107.61°, β = 107.61°, γ = 113.27°
Atoms (fractional coordinates):
Ba1 0.182 0.682 0.864
Ba2 0.318 0.182 0.500
Ba3 0.682 0.818 0.500
Ba4 0.818 0.318 0.136
Ag1 0.250 0.250 0.000
Ag2 0.750 0.750 0.000